1.
A relaxed TbNd2Dy2Sc2 crystal, computed with PBE.

Output
uncorrected energy: -5.039 eV/atom

a b c (Å): 3.445 5.955 11.645
angles (deg): 71.90 90.00 106.81
Sites, in units of the cell vectors:
Sc 0.229 0.457 0.630
Tb 0.000 0.000 0.500
Nd 0.672 0.343 0.910
Dy 0.455 0.909 0.766
Sc 0.771 0.543 0.370
Dy 0.545 0.091 0.234
Nd 0.328 0.657 0.090

2.
A relaxed HfTeCl crystal, computed with PBE.

Output
formation energy from raw total energies: -1109 meV/atom

a b c (Å): 3.737 6.551 7.936
angles (deg): 73.78 76.12 90.00
Sites, in units of the cell vectors:
Hf 0.746 0.786 0.008
Cl 0.338 0.641 0.826
Hf 0.254 0.214 0.992
Te 0.111 0.823 0.274
Cl 0.662 0.359 0.174
Te 0.889 0.177 0.726

3.
A relaxed RbBaAuSe crystal, computed with PBE.

Output
formation energy from raw total energies: -1047 meV/atom

a b c (Å): 5.716 5.716 5.716
angles (deg): 60.00 60.00 60.00
Sites, in units of the cell vectors:
Se 0.500 0.500 0.500
Ba 0.750 0.750 0.750
Rb 0.250 0.250 0.250
Au 0.000 0.000 0.000

4.
A relaxed YCl crystal, computed with PBE.

Output
formation energy from raw total energies: -337 meV/atom

a b c (Å): 5.426 5.426 5.426
angles (deg): 60.00 60.00 60.00
Last column: magnetic moment on the atom in μB.
Sites, in units of the cell vectors:
Cl 0.250 0.250 0.250  0.05
Y 0.750 0.750 0.750  1.07
Cl 0.000 0.000 0.000  0.05
Y 0.500 0.500 0.500  1.07

5.
A relaxed SrLi2BiF crystal, computed with PBE.

Output
formation energy from raw total energies: -1492 meV/atom

a b c (Å): 4.728 4.728 4.932
angles (deg): 90.00 90.00 90.00
Sites, in units of the cell vectors:
Bi 0.500 0.500 0.500
F 0.000 0.000 0.000
Sr 0.000 0.000 0.500
Li 0.500 0.000 0.000
Li 0.000 0.500 0.000

6.
A relaxed Tb2SmTm5 crystal, computed with PBE.

Output
distance to the lowest polymorph of the same formula: 0 meV/atom

a b c (Å): 7.050 7.050 7.031
angles (deg): 120.07 120.08 90.02
Sites, in units of the cell vectors:
Tm 0.722 0.722 0.445
Tb 0.222 0.722 0.444
Tm 0.222 0.222 0.944
Tb 0.722 0.222 0.444
Tm 0.722 0.222 0.944
Sm 0.222 0.222 0.444
Tm 0.722 0.722 0.944
Tm 0.222 0.722 0.944

7.
A relaxed V2AuI8 crystal, computed with PBE.

Output
formation energy from raw total energies: -304 meV/atom

a b c (Å): 7.382 10.904 10.904
angles (deg): 55.36 54.06 54.06
Last column: magnetic moment on the atom in μB.
Sites, in units of the cell vectors:
I 0.459 0.324 0.909  -0.04
I 0.459 0.909 0.324  -0.04
Au 0.000 0.000 0.000  -0.01
I 0.878 0.641 0.641  -0.04
V 0.527 0.814 0.814  1.53
V 0.473 0.186 0.186  1.53
I 0.122 0.359 0.359  -0.04
I 0.136 0.836 0.836  -0.03
I 0.541 0.091 0.676  -0.04
I 0.541 0.676 0.091  -0.04
I 0.864 0.164 0.164  -0.03

8.
A relaxed TeH crystal, computed with PBE.

Output
distance to the lowest polymorph of the same formula: 545 meV/atom

a b c (Å): 5.167 5.167 5.167
angles (deg): 90.00 90.00 90.00
Sites, in units of the cell vectors:
H 0.750 0.250 0.750
H 0.250 0.750 0.750
Te 0.500 0.500 0.000
Te 0.000 0.500 0.500
H 0.750 0.750 0.250
H 0.250 0.250 0.250
Te 0.000 0.000 0.000
Te 0.500 0.000 0.500